Density functional theory data (PBE-GGA) for a relaxed structure of SrBIr.

```
SrBIr
1.0
0.000 3.036 3.036
3.036 0.000 3.036
3.036 3.036 0.000
Sr Ir B
1 1 1
Direct
0.750 0.750 0.750
0.250 0.250 0.250
0.000 0.000 0.000
```

- Symmetry: F-43m, No. 216
- ΔE to the lowest computed polymorph: 0 meV/atom
- Energy: -15.145 eV per cell
- Spin magnetization: 0.01 μB/f.u.